CrHgS2O8: relaxed, PBE with a Hubbard U.

It has space group C2/m (No. 12), with a = 8.7140 Å, b = 5.3451 Å, c = 7.5082 Å, α = 90.00°, β = 101.17° and γ = 90.00°. The inequivalent atoms are Cr at (0.0000, 0.0000, 0.0000), Hg at (0.0000, 0.0000, 0.5000), S at (0.1615, 0.5000, 0.2230), O at (0.0593, 0.2721, 0.2090), O at (0.2398, 0.0000, 0.9118) and O at (0.2459, 0.0000, 0.5825).

The total energy comes out at -5.904 eV/atom.